Computed, not measured: a geometry-optimized Sm2CdGe4Pt3 structure at the GGA-PBE level of DFT.

Cell: 4.283 4.283 10.797 Å, 90.00 90.00 90.00°
Positions (direct):
Sm (0.500, 0.000, 0.248)
Sm (0.000, 0.500, 0.752)
Cd (0.500, 0.500, 0.500)
Ge (0.500, 0.500, 0.000)
Ge (0.000, 0.000, 0.000)
Ge (0.500, 0.000, 0.649)
Ge (0.000, 0.500, 0.351)
Pt (0.000, 0.000, 0.500)
Pt (0.500, 0.000, 0.875)
Pt (0.000, 0.500, 0.125)

The space group is No. 115.

=====

Computed, not measured: a geometry-optimized SmCdGe2Pt2 structure at the GGA-PBE level of DFT.

Cell: 4.362 4.362 7.118 Å, 90.00 90.00 120.00°
Positions (direct):
Sm (0.000, 0.000, 0.000)
Cd (0.000, 0.000, 0.500)
Ge (0.667, 0.333, 0.259)
Ge (0.333, 0.667, 0.741)
Pt (0.667, 0.333, 0.703)
Pt (0.333, 0.667, 0.297)

The space group is No. 164.

=====

Computed, not measured: a geometry-optimized SmCdGe2Pt5 structure at the GGA-PBE level of DFT.

Cell: 4.263 4.263 9.090 Å, 90.00 90.00 90.00°
Positions (direct):
Sm (0.000, 0.000, 0.500)
Cd (0.000, 0.000, 0.000)
Ge (0.500, 0.500, 0.131)
Ge (0.500, 0.500, 0.869)
Pt (0.000, 0.500, 0.269)
Pt (0.500, 0.000, 0.269)
Pt (0.000, 0.500, 0.731)
Pt (0.500, 0.000, 0.731)
Pt (0.500, 0.500, 0.500)

The space group is No. 123.

=====

Computed, not measured: a geometry-optimized CdSnGePt2 structure at the GGA-PBE level of DFT.

Cell: 4.776 4.997 4.776 Å, 90.00 90.00 90.00°
Positions (direct):
Ge (0.000, 0.000, 0.000)
Sn (0.500, 0.500, 0.500)
Pt (0.000, 0.000, 0.500)
Pt (0.500, 0.000, 0.000)
Cd (0.000, 0.500, 0.000)

The space group is No. 123.

=====

Computed, not measured: a geometry-optimized Sr2CdGePt structure at the GGA-PBE level of DFT.

Cell: 5.955 5.955 4.707 Å, 90.00 90.00 90.00°
Positions (direct):
Sr (0.000, 0.500, 0.000)
Sr (0.500, 0.000, 0.000)
Ge (0.000, 0.000, 0.500)
Pt (0.000, 0.000, 0.000)
Cd (0.500, 0.500, 0.500)

The space group is No. 123.

=====

Computed, not measured: a geometry-optimized Sr2CdGe4Pt3 structure at the GGA-PBE level of DFT.

Cell: 4.464 4.464 10.495 Å, 90.00 90.00 90.00°
Positions (direct):
Sr (0.500, 0.000, 0.245)
Sr (0.000, 0.500, 0.755)
Cd (0.500, 0.500, 0.500)
Ge (0.500, 0.500, 0.000)
Ge (0.000, 0.000, 0.000)
Ge (0.500, 0.000, 0.643)
Ge (0.000, 0.500, 0.357)
Pt (0.000, 0.000, 0.500)
Pt (0.500, 0.000, 0.883)
Pt (0.000, 0.500, 0.117)

The space group is No. 115.

=====

Computed, not measured: a geometry-optimized SrCdGe2Pt2 structure at the GGA-PBE level of DFT.

Cell: 4.431 4.431 7.375 Å, 90.00 90.00 120.00°
Positions (direct):
Sr (0.000, 0.000, 0.000)
Cd (0.000, 0.000, 0.500)
Ge (0.667, 0.333, 0.289)
Ge (0.333, 0.667, 0.711)
Pt (0.667, 0.333, 0.684)
Pt (0.333, 0.667, 0.316)

The space group is No. 164.

=====

Computed, not measured: a geometry-optimized SrCdGe2Pt5 structure at the GGA-PBE level of DFT.

Cell: 4.791 4.791 8.414 Å, 90.00 90.00 90.00°
Positions (direct):
Sr (0.000, 0.000, 0.500)
Cd (0.000, 0.000, 0.000)
Ge (0.500, 0.500, 0.215)
Ge (0.500, 0.500, 0.785)
Pt (0.000, 0.500, 0.170)
Pt (0.500, 0.000, 0.170)
Pt (0.000, 0.500, 0.830)
Pt (0.500, 0.000, 0.830)
Pt (0.500, 0.500, 0.500)

The space group is No. 123.

=====

Computed, not measured: a geometry-optimized TbCdGePt structure at the GGA-PBE level of DFT.

Cell: 4.863 4.863 4.863 Å, 60.00 60.00 60.00°
Positions (direct):
Ge (0.250, 0.250, 0.250)
Tb (0.000, 0.000, 0.000)
Pt (0.750, 0.750, 0.750)
Cd (0.500, 0.500, 0.500)

The space group is No. 216.

=====

Computed, not measured: a geometry-optimized Tb2CdGe4Pt3 structure at the GGA-PBE level of DFT.

Cell: 4.236 4.236 10.855 Å, 90.00 90.00 90.00°
Positions (direct):
Tb (0.500, 0.000, 0.249)
Tb (0.000, 0.500, 0.751)
Cd (0.500, 0.500, 0.500)
Ge (0.500, 0.500, 0.000)
Ge (0.000, 0.000, 0.000)
Ge (0.500, 0.000, 0.649)
Ge (0.000, 0.500, 0.351)
Pt (0.000, 0.000, 0.500)
Pt (0.500, 0.000, 0.873)
Pt (0.000, 0.500, 0.127)

The space group is No. 115.

=====

Computed, not measured: a geometry-optimized TbCdGe2Pt5 structure at the GGA-PBE level of DFT.

Cell: 4.201 4.201 9.005 Å, 90.00 90.00 90.00°
Positions (direct):
Tb (0.000, 0.000, 0.000)
Cd (0.000, 0.000, 0.500)
Ge (0.500, 0.500, 0.135)
Ge (0.500, 0.500, 0.865)
Pt (0.000, 0.500, 0.277)
Pt (0.500, 0.000, 0.277)
Pt (0.000, 0.500, 0.723)
Pt (0.500, 0.000, 0.723)
Pt (0.500, 0.500, 0.500)

The space group is No. 123.

=====

Computed, not measured: a geometry-optimized TbCdGe2Pt2 structure at the GGA-PBE level of DFT.

Cell: 4.351 4.351 7.036 Å, 90.00 90.00 120.00°
Positions (direct):
Tb (0.000, 0.000, 0.000)
Cd (0.000, 0.000, 0.500)
Ge (0.667, 0.333, 0.254)
Ge (0.333, 0.667, 0.746)
Pt (0.667, 0.333, 0.714)
Pt (0.333, 0.667, 0.286)

The space group is No. 164.

=====

Computed, not measured: a geometry-optimized Th2CdGe3Pt4 structure at the GGA-PBE level of DFT.

Cell: 4.285 4.285 10.897 Å, 90.00 90.00 90.00°
Positions (direct):
Th (0.500, 0.000, 0.238)
Th (0.000, 0.500, 0.762)
Cd (0.500, 0.500, 0.500)
Ge (0.000, 0.000, 0.500)
Ge (0.500, 0.000, 0.874)
Ge (0.000, 0.500, 0.126)
Pt (0.500, 0.500, 0.000)
Pt (0.000, 0.000, 0.000)
Pt (0.500, 0.000, 0.652)
Pt (0.000, 0.500, 0.348)

The space group is No. 115.

=====

Computed, not measured: a geometry-optimized TlCd2GePt structure at the GGA-PBE level of DFT.

Cell: 5.317 5.317 4.708 Å, 90.00 90.00 90.00°
Positions (direct):
Tl (0.500, 0.500, 0.500)
Ge (0.000, 0.000, 0.500)
Pt (0.000, 0.000, 0.000)
Cd (0.000, 0.500, 0.000)
Cd (0.500, 0.000, 0.000)

The space group is No. 123.

=====

Computed, not measured: a geometry-optimized TmCdGePt structure at the GGA-PBE level of DFT.

Cell: 4.820 4.820 4.820 Å, 60.00 60.00 60.00°
Positions (direct):
Ge (0.250, 0.250, 0.250)
Tm (0.000, 0.000, 0.000)
Pt (0.750, 0.750, 0.750)
Cd (0.500, 0.500, 0.500)

The space group is No. 216.

=====

Computed, not measured: a geometry-optimized Y2CdGe3Pt4 structure at the GGA-PBE level of DFT.

Cell: 4.185 4.185 11.083 Å, 90.00 90.00 90.00°
Positions (direct):
Y (0.500, 0.000, 0.243)
Y (0.000, 0.500, 0.757)
Cd (0.500, 0.500, 0.500)
Ge (0.000, 0.000, 0.500)
Ge (0.500, 0.000, 0.871)
Ge (0.000, 0.500, 0.129)
Pt (0.500, 0.500, 0.000)
Pt (0.000, 0.000, 0.000)
Pt (0.500, 0.000, 0.656)
Pt (0.000, 0.500, 0.344)

The space group is No. 115.

=====

Computed, not measured: a geometry-optimized Pu6CdGe2 structure at the GGA-PBE level of DFT.

Cell: 3.144 8.836 8.836 Å, 120.00 90.00 90.00°
Last column: magnetic moment on the atom in μB.
Positions (direct):
Pu (0.500, 0.340, 0.340)  5.71
Pu (0.500, 0.660, 0.660)  5.71
Pu (0.500, 0.000, 0.660)  5.71
Pu (0.500, 0.660, 0.000)  5.71
Pu (0.500, 0.340, 0.000)  5.71
Pu (0.500, 0.000, 0.340)  5.71
Cd (0.000, 0.000, 0.000)  -0.02
Ge (0.000, 0.333, 0.667)  -0.11
Ge (0.000, 0.667, 0.333)  -0.11

The space group is No. 191.

=====

Computed, not measured: a geometry-optimized Pu2CdGe structure at the GGA-PBE level of DFT.

Cell: 4.514 4.553 4.553 Å, 90.00 90.00 90.00°
Last column: magnetic moment on the atom in μB.
Positions (direct):
Ge (0.500, 0.500, 0.500)  -0.10
Cd (0.500, 0.000, 0.000)  0.02
Pu (0.000, 0.000, 0.500)  5.53
Pu (0.000, 0.500, 0.000)  5.53

The space group is No. 123.

=====

Computed, not measured: a geometry-optimized PuCd2Ge structure at the GGA-PBE level of DFT.

Cell: 3.115 3.115 11.577 Å, 82.27 82.27 60.00°
Last column: magnetic moment on the atom in μB.
Positions (direct):
Ge (0.500, 0.500, 0.500)  0.02
Cd (0.093, 0.093, 0.721)  0.02
Cd (0.907, 0.907, 0.279)  0.02
Pu (0.000, 0.000, 0.000)  5.60

The space group is No. 166. The energy above the most stable polymorph in this dataset comes out at 456 meV per atom.

=====

Computed, not measured: a geometry-optimized Pu2Cd3Ge2 structure at the GGA-PBE level of DFT.

Cell: 3.190 4.548 11.151 Å, 101.77 90.00 90.00°
Last column: magnetic moment on the atom in μB.
Positions (direct):
Pu (0.000, 0.838, 0.675)  5.45
Pu (0.000, 0.162, 0.325)  5.45
Cd (0.500, 0.571, 0.142)  0.01
Cd (0.500, 0.429, 0.858)  0.01
Cd (0.000, 0.000, 0.000)  0.01
Ge (0.500, 0.716, 0.433)  -0.02
Ge (0.500, 0.284, 0.567)  -0.02

The space group is No. 65.

=====

Taking the records one at a time from the top gives raw total energy values of -5.481 -5.163 -5.591 -4.069 -3.489 -4.770 -4.584 -4.974 -4.624 -5.433 -5.619 -5.141 -6.209 -3.038 -4.580 -5.999 -10.690 -8.740 -4.899 -5.982 eV per atom.
Taking the records one at a time from the top gives energy of formation values of -7.9 -4.0 -5.2 1.3 -2.5 -6.8 -3.6 -2.7 -2.3 -7.6 -5.6 -4.0 -8.3 -0.3 -2.3 -8.1 -0.1 -0.8 1.2 -1.2 eV per formula unit.
Taking the records one at a time from the top gives total magnetization values of 0.0 0.0 0.0 0.0 0.0 0.0 0.0 0.0 0.0 0.0 0.0 0.0 0.0 0.0 0.0 0.0 35.4 11.6 6.0 11.6 μB/f.u..